[1]
# TiCrO2

TiCrO2 after structural relaxation (PBE+U, Alexandria via LeMat-Bulk).

Structure (POSCAR):
```
TiCrO2
1.0
-1.395 3.703 2.598
2.037 -1.913 3.821
4.530 3.234 2.135
Cr O Ti
2 4 2
direct
0.750 0.250 0.500
0.000 0.000 0.000
0.375 0.440 0.750
0.560 0.125 0.250
0.190 0.625 0.250
0.875 0.810 0.750
0.250 0.750 0.500
0.500 0.500 0.000
```

* crystal system: tetragonal
* SG: No. 122

***

[2]
# NaCrBrO

NaCrBrO after structural relaxation (PBE+U, Alexandria via LeMat-Bulk).

Structure (POSCAR):
```
NaCrBrO
1.0
-0.159 3.548 1.314
-3.235 0.131 -0.745
-2.885 -4.475 11.731
Na O Br Cr
2 2 2 2
direct
0.000 0.500 0.124
0.000 0.000 0.624
0.500 0.000 0.521
0.500 0.500 0.021
0.500 0.000 0.273
0.500 0.500 0.773
0.500 0.500 0.434
0.500 0.000 0.934
```

* crystal system: orthorhombic
* SG: No. 38

***

Across the entries above, energy above the lowest structure with this stoichiometry takes the values 204.3; 0.0 meV/atom, respectively.
Across the entries above, final energy takes the values -8.147; -5.083 eV/atom, respectively.